Model one:
First-principles (PBE) data for a relaxed structure of ReSe, as listed in Alexandria.

The structure belongs to space group Cm (No. 8); the cell edges are 13.2990, 3.0629 and 6.3713 Å and the angles 90.00°, 102.23° and 90.00°. Symmetry generates all atoms from Re at (0.0000, 0.0000, 0.0000), Re at (0.0199, 0.5000, 0.6653), Re at (0.3533, 0.0000, 0.8254), Se at (0.0810, 0.5000, 0.3094), Se at (0.1637, 0.0000, 0.8302) and Se at (0.3579, 0.5000, 0.5034).

=====

Model two:
First-principles (PBE) data for a relaxed structure of ReSe, as listed in Alexandria.

The structure belongs to space group P6_3/m (No. 176); the cell edges are 9.9611, 9.9611 and 3.6041 Å and the angles 90.00°, 90.00° and 120.00°. Symmetry generates all atoms from Re at (0.0231, 0.5919, 0.2500) and Se at (0.1457, 0.3912, 0.2500).

=====

Model three:
First-principles (PBE) data for a relaxed structure of ReSe, as listed in Alexandria.

The structure belongs to space group R-3m (No. 166, hexagonal axes); the cell edges are 3.0372, 3.0372 and 28.7115 Å and the angles 90.00°, 90.00° and 120.00°. Symmetry generates all atoms from Re at (0.0000, 0.0000, 0.1288) and Se at (0.0000, 0.0000, 0.3995).

=====

Least stable = model two

=====

Model one:
First-principles (PBE) data for a relaxed structure of Re2SiSe, as listed in Alexandria.

The structure belongs to space group R3m (No. 160, hexagonal axes); the cell edges are 3.0088, 3.0088 and 23.5951 Å and the angles 90.00°, 90.00° and 120.00°. Symmetry generates all atoms from Re at (0.0000, 0.0000, 0.0000), Re at (0.0000, 0.0000, 0.2416), Si at (0.0000, 0.0000, 0.5005) and Se at (0.0000, 0.0000, 0.7451).

=====

Model two:
First-principles (PBE) data for a relaxed structure of Re2SiSe, as listed in Alexandria.

The structure belongs to space group Immm (No. 71); the cell edges are 2.9013, 4.2356 and 10.2687 Å and the angles 90.00°, 90.00° and 90.00°. Symmetry generates all atoms from Re at (0.0000, 0.0000, 0.1993), Si at (0.0000, 0.5000, 0.5000) and Se at (0.0000, 0.5000, 0.0000).

=====

Model three:
First-principles (PBE) data for a relaxed structure of Re2SiSe, as listed in Alexandria.

The structure belongs to space group I-4m2 (No. 119); the cell edges are 4.0082, 4.0082 and 7.5140 Å and the angles 90.00°, 90.00° and 90.00°. Symmetry generates all atoms from Re at (0.0000, 0.0000, 0.0000), Re at (0.0000, 0.5000, 0.2500), Si at (0.0000, 0.0000, 0.5000) and Se at (0.0000, 0.5000, 0.7500).

=====

Model four:
First-principles (PBE) data for a relaxed structure of Re2SiSe, as listed in Alexandria.

The structure belongs to space group P2/m (No. 10); the cell edges are 3.0040, 3.7430 and 5.6142 Å and the angles 90.00°, 102.99° and 90.00°. Symmetry generates all atoms from Re at (0.1248, 0.0000, 0.2783), Si at (0.5000, 0.5000, 0.5000) and Se at (0.5000, 0.5000, 0.0000).

=====

Least stable = model three